CdNi2F6: optimized geometry, PBE+U.

Geometry as POSCAR:
```
CdNi2F6
1.0
4.882 0.000 0.000
0.000 4.882 0.000
0.000 0.000 9.743
Ni F Cd
4 12 2
Cartesian
0.000 0.000 1.631
2.441 2.441 3.240
2.441 2.441 6.503
0.000 0.000 8.112
1.440 1.440 7.986
3.442 3.442 1.757
3.314 3.314 4.872
1.568 1.568 4.872
3.881 1.001 6.629
3.881 1.001 3.114
4.009 0.873 0.000
0.873 4.009 0.000
1.440 1.440 1.757
1.001 3.881 3.114
1.001 3.881 6.629
3.442 3.442 7.986
0.000 0.000 4.872
2.441 2.441 0.000
```

Calculated values
VASP energy = -36.783 eV per formula unit
total magnetization = 7.97 μB/cell